VASP calculation (PBE) on a relaxed structure of Li2TaSbO4.

Cell: 2.9864 2.9864 10.7579 Å, 90.00 90.00 120.00°
Last column: nearest neighbours and their distance in Å.
Element x y z (fractional)
1 Li 0.0000 0.0000 0.2501  6 O 2.05-2.23
2 Li 0.0000 0.0000 0.7499  6 O 2.05-2.23
3 Ta 0.3333 0.6667 0.0000  6 O 2.14
4 Sb 0.6667 0.3333 0.5000  6 O 2.34
5 O 0.3333 0.6667 0.3530  3 Li 2.05
6 O 0.3333 0.6667 0.6470  3 Li 2.05
7 O 0.6667 0.3333 0.1182  3 Ta 2.14, 3 Li 2.23
8 O 0.6667 0.3333 0.8818  3 Ta 2.14, 3 Li 2.23

Summary:
Density (g/cm³): 7.6
Total DFT energy (no corrections) (eV per atom): -6.684

VASP calculation (PBE) on a relaxed structure of LiTm2SbO6.

Cell: 5.2782 5.5922 9.2297 Å, 90.00 122.47 90.00°
Last column: nearest neighbours and their distance in Å.
Element x y z (fractional)
1 Li 0.0000 0.0000 0.0000  6 O 2.07-2.22
2 Li 0.0000 0.5000 0.5000  6 O 2.07-2.22
3 Tm 0.2134 0.0699 0.7436  5 O 2.19-2.39
4 Tm 0.2134 0.4301 0.2436  5 O 2.19-2.39
5 Tm 0.7866 0.5699 0.7564  5 O 2.19-2.39
6 Tm 0.7866 0.9301 0.2564  5 O 2.19-2.39
7 Sb 0.5000 0.0000 0.5000  6 O 1.99-2.01
8 Sb 0.5000 0.5000 0.0000  6 O 1.99-2.01
9 O 0.1377 0.1893 0.4410  1 Sb 1.99, 1 Li 2.07
10 O 0.1377 0.3107 0.9410  1 Sb 1.99, 1 Li 2.07
11 O 0.2400 0.7068 0.4221  1 Sb 2.01, 1 Li 2.11, 1 Tm 2.21
12 O 0.2400 0.7932 0.9221  1 Sb 2.01, 1 Li 2.11, 1 Tm 2.21
13 O 0.4001 0.0610 0.2622  1 Sb 1.99, 1 Tm 2.19, 1 Li 2.22
14 O 0.4001 0.4390 0.7622  1 Sb 1.99, 1 Tm 2.19, 1 Li 2.22
15 O 0.5999 0.5610 0.2378  1 Sb 1.99, 1 Tm 2.19, 1 Li 2.22
16 O 0.5999 0.9390 0.7378  1 Sb 1.99, 1 Tm 2.19, 1 Li 2.22
17 O 0.7600 0.2068 0.0779  1 Sb 2.01, 1 Li 2.11, 1 Tm 2.21
18 O 0.7600 0.2932 0.5779  1 Sb 2.01, 1 Li 2.11, 1 Tm 2.21
19 O 0.8623 0.6893 0.0590  1 Sb 1.99, 1 Li 2.07
20 O 0.8623 0.8107 0.5590  1 Sb 1.99, 1 Li 2.07

Summary:
Density (g/cm³): 8.1
Total DFT energy (no corrections) (eV per atom): -7.150

VASP calculation (PBE) on a relaxed structure of Li4ZrSbO6.

Cell: 5.3960 5.3960 5.1977 Å, 99.95 99.95 119.89°
Last column: nearest neighbours and their distance in Å.
Element x y z (fractional)
1 Li 0.0000 0.0000 0.0000  6 O 2.12-2.26
2 Li 0.3542 0.6458 0.0000  6 O 2.14-2.26
3 Li 0.6917 0.3083 0.0000  6 O 2.15-2.23
4 Li 0.8486 0.1514 0.5000  6 O 2.20-2.21
5 Zr 0.1815 0.8185 0.5000  6 O 2.12-2.13
6 Sb 0.5166 0.4834 0.5000  6 O 2.12-2.14
7 O 0.1119 0.4155 0.2560  4 Li 2.12-2.21, 1 Zr 2.13, 1 Sb 2.14
8 O 0.2727 0.2308 0.7408  1 Zr 2.12, 1 Sb 2.13, 4 Li 2.19-2.23
9 O 0.4243 0.0712 0.2599  1 Sb 2.12, 1 Zr 2.12, 4 Li 2.20-2.26
10 O 0.5845 0.8881 0.7440  4 Li 2.12-2.21, 1 Zr 2.13, 1 Sb 2.14
11 O 0.7692 0.7273 0.2592  1 Zr 2.12, 1 Sb 2.13, 4 Li 2.19-2.23
12 O 0.9288 0.5757 0.7401  1 Sb 2.12, 1 Zr 2.12, 4 Li 2.20-2.26

Summary:
Density (g/cm³): 4.5
Total DFT energy (no corrections) (eV per atom): -6.271

VASP calculation (PBE) on a relaxed structure of Li3Sc2Ta3O12.

Cell: 10.1166 10.1166 10.1166 Å, 109.47 109.47 109.47°
Last column: nearest neighbours and their distance in Å.
Element x y z (fractional)
1 Li 0.1250 0.7500 0.8750  4 O 1.81
2 Li 0.1250 0.8750 0.2500  4 O 1.81
3 Li 0.2500 0.1250 0.8750  4 O 1.81
4 Li 0.2500 0.6250 0.3750  4 O 1.81
5 Li 0.3750 0.2500 0.6250  4 O 1.81
6 Li 0.3750 0.6250 0.7500  4 O 1.81
7 Li 0.6250 0.3750 0.2500  4 O 1.81
8 Li 0.6250 0.7500 0.3750  4 O 1.81
9 Li 0.7500 0.3750 0.6250  4 O 1.81
10 Li 0.7500 0.8750 0.1250  4 O 1.81
11 Li 0.8750 0.1250 0.7500  4 O 1.81
12 Li 0.8750 0.2500 0.1250  4 O 1.81
13 Sc 0.0000 0.0000 0.0000  6 O 2.05
14 Sc 0.0000 0.0000 0.5000  6 O 2.05
15 Sc 0.0000 0.5000 0.0000  6 O 2.05
16 Sc 0.0000 0.5000 0.5000  6 O 2.05
17 Sc 0.5000 0.0000 0.0000  6 O 2.05
18 Sc 0.5000 0.0000 0.5000  6 O 2.05
19 Sc 0.5000 0.5000 0.0000  6 O 2.05
20 Sc 0.5000 0.5000 0.5000  6 O 2.05
21 Ta 0.1250 0.2500 0.3750  8 O 2.12-2.22
22 Ta 0.1250 0.3750 0.7500  8 O 2.12-2.22
23 Ta 0.2500 0.3750 0.1250  8 O 2.12-2.22
24 Ta 0.2500 0.8750 0.6250  8 O 2.12-2.22
25 Ta 0.3750 0.1250 0.2500  8 O 2.12-2.22
26 Ta 0.3750 0.7500 0.1250  8 O 2.12-2.22
27 Ta 0.6250 0.2500 0.8750  8 O 2.12-2.22
28 Ta 0.6250 0.8750 0.7500  8 O 2.12-2.22
29 Ta 0.7500 0.1250 0.3750  8 O 2.12-2.22
30 Ta 0.7500 0.6250 0.8750  8 O 2.12-2.22
31 Ta 0.8750 0.6250 0.2500  8 O 2.12-2.22
32 Ta 0.8750 0.7500 0.6250  8 O 2.12-2.22
33 O 0.0490 0.2307 0.1334  1 Li 1.81
34 O 0.0490 0.3182 0.9156  1 Li 1.81
35 O 0.0844 0.6334 0.4027  1 Li 1.81
36 O 0.0844 0.9510 0.6818  1 Li 1.81
37 O 0.0973 0.7307 0.6818  1 Li 1.81
38 O 0.0973 0.8666 0.4156  1 Li 1.81
39 O 0.1334 0.0490 0.2307  1 Li 1.81
40 O 0.1334 0.5844 0.9027  1 Li 1.81
41 O 0.1818 0.2307 0.5973  1 Li 1.81
42 O 0.1818 0.4510 0.5844  1 Li 1.81
43 O 0.2307 0.1334 0.0490  1 Li 1.81
44 O 0.2307 0.5973 0.1818  1 Li 1.81
45 O 0.2693 0.3182 0.9027  1 Li 1.81
46 O 0.2693 0.4510 0.3666  1 Li 1.81
47 O 0.3182 0.9027 0.2693  1 Li 1.81
48 O 0.3182 0.9156 0.0490  1 Li 1.81
49 O 0.3666 0.2693 0.4510  1 Li 1.81
50 O 0.3666 0.5973 0.9156  1 Li 1.81
51 O 0.4027 0.0844 0.6334  1 Li 1.81
52 O 0.4027 0.8182 0.7693  1 Li 1.81
53 O 0.4156 0.0973 0.8666  1 Li 1.81
54 O 0.4156 0.8182 0.5490  1 Li 1.81
55 O 0.4510 0.3666 0.2693  1 Li 1.81
56 O 0.4510 0.5844 0.1818  1 Li 1.81
57 O 0.5490 0.4156 0.8182  1 Li 1.81
58 O 0.5490 0.6334 0.7307  1 Li 1.81
59 O 0.5844 0.1818 0.4510  1 Li 1.81
60 O 0.5844 0.9027 0.1334  1 Li 1.81
61 O 0.5973 0.1818 0.2307  1 Li 1.81
62 O 0.5973 0.9156 0.3666  1 Li 1.81
63 O 0.6334 0.4027 0.0844  1 Li 1.81
64 O 0.6334 0.7307 0.5490  1 Li 1.81
65 O 0.6818 0.0844 0.9510  1 Li 1.81
66 O 0.6818 0.0973 0.7307  1 Li 1.81
67 O 0.7307 0.5490 0.6334  1 Li 1.81
68 O 0.7307 0.6818 0.0973  1 Li 1.81
69 O 0.7693 0.4027 0.8182  1 Li 1.81
70 O 0.7693 0.8666 0.9510  1 Li 1.81
71 O 0.8182 0.5490 0.4156  1 Li 1.81
72 O 0.8182 0.7693 0.4027  1 Li 1.81
73 O 0.8666 0.4156 0.0973  1 Li 1.81
74 O 0.8666 0.9510 0.7693  1 Li 1.81
75 O 0.9027 0.1334 0.5844  1 Li 1.81
76 O 0.9027 0.2693 0.3182  1 Li 1.81
77 O 0.9156 0.0490 0.3182  1 Li 1.81
78 O 0.9156 0.3666 0.5973  1 Li 1.81
79 O 0.9510 0.6818 0.0844  1 Li 1.81
80 O 0.9510 0.7693 0.8666  1 Li 1.81

Summary:
Density (g/cm³): 7.0
Total DFT energy (no corrections) (eV per atom): -8.271

| no. | total magnetization (μB/f.u.) |
| --- | --- |
| 1 | 0.0 |
| 2 | 0.0 |
| 3 | 0.6 |
| 4 | 0.0 |